DFT (PBE with a Hubbard U) results for a relaxed structure of BeV2PF.

Unit cell a=4.927 b=4.927 c=3.840 alpha=90.00 beta=90.00 gamma=90.00
Sites, in units of the cell vectors:
Be: 0.000 0.000 0.000
V: 0.000 0.500 0.500
V: 0.500 0.000 0.500
P: 0.000 0.000 0.500
F: 0.500 0.500 0.000

Computed properties:
ρ	2.87	g cm⁻³
space-group type	P4/mmm, No. 123
final energy	-24.5	eV/f.u.
total magnetization	1.47	μB per atom
crystal system	tetragonal
DOS at the Fermi energy	0.569	states/eV per atom